[1]
The following is a DFT calculation (PBE) of an optimized crystal structure of MgPdPb2.

The space group is R-3m (No. 166, hexagonal axes) and the conventional cell measures 3.2684, 3.2684 and 33.0232 Å, with angles of 90.00, 90.00 and 120.00 degrees. The inequivalent atoms are Mg at (0.0000, 0.0000, 0.0000), Pd at (0.0000, 0.0000, 0.5000) and Pb at (0.0000, 0.0000, 0.4179).

For the total DFT energy (no corrections), the calculation gives -3.40 eV/atom. As for the formation energy: 0.15 eV per atom. For the density of states at the Fermi level, the calculation gives 6.87 states/eV per cell.



[2]
The following is a DFT calculation (PBE) of an optimized crystal structure of Li4Ho3ScS8.

The space group is R-3m (No. 166, hexagonal axes) and the conventional cell measures 7.6924, 7.6924 and 18.4540 Å, with angles of 90.00, 90.00 and 120.00 degrees. The inequivalent atoms are Li at (0.0000, 0.0000, 0.0000), Li at (0.0000, 0.5000, 0.0000), Ho at (0.0000, 0.5000, 0.5000), Sc at (0.0000, 0.0000, 0.5000), S at (0.0000, 0.0000, 0.2506) and S at (0.0102, 0.5051, 0.2486).

As for the uncorrected formation energy: -1.827 eV/atom. For the total DFT energy (no corrections), the calculation gives -5.62 eV/atom. For the density of states at the Fermi level, the calculation gives 0.00 states/eV per cell.



[3]
The following is a DFT calculation (PBE) of an optimized crystal structure of ScVHg2H.

The space group is P4/mmm (No. 123) and the conventional cell measures 5.329, 5.329 and 3.350 Å, with angles of 90.00, 90.00 and 90.00 degrees. The inequivalent atoms are Sc at (0.000, 0.000, 0.000), V at (0.500, 0.500, 0.500), Hg at (0.000, 0.500, 0.500) and H at (0.500, 0.500, 0.000).

For the total DFT energy (no corrections), the calculation gives -3.65 eV/atom. For the density of states at the Fermi level, the calculation gives 4.92 states/eV per cell.